*w*
SbMoOsI2 | PBE | optimized geometry

Cell: 5.3986 5.3986 5.3365 Å, 90.00 90.00 90.00°
Site moments in Bohr magnetons follow the coordinates.
Fractional positions:
1 I 0.0000 0.5000 0.0000  0.03
2 I 0.5000 0.0000 0.0000  0.03
3 Sb 0.0000 0.0000 0.5000  0.03
4 Mo 0.0000 0.0000 0.0000  -1.31
5 Os 0.5000 0.5000 0.5000  3.07

Results
- Space group: P4/mmm

*x*
SbMoOsI2 | PBE | optimized geometry

Cell: 5.5698 5.5698 4.9951 Å, 90.00 90.00 90.00°
Site moments in Bohr magnetons follow the coordinates.
Fractional positions:
1 I 0.0000 0.5000 0.0000  -0.01
2 I 0.5000 0.0000 0.0000  -0.01
3 Sb 0.0000 0.0000 0.5000  -0.07
4 Mo 0.5000 0.5000 0.5000  3.88
5 Os 0.0000 0.0000 0.0000  -0.05

Results
- Space group: P4/mmm

Most stable pick: *x*. Distance to second place: 317 meV per atom.

*w*
TeMoOsI2 | PBE | optimized geometry

Cell: 6.1946 5.3310 6.1946 Å, 90.00 90.00 90.00°
Site moments in Bohr magnetons follow the coordinates.
Fractional positions:
1 I 0.0000 0.0000 0.5000  0.13
2 I 0.5000 0.0000 0.0000  0.07
3 Mo 0.0000 0.5000 0.0000  3.44
4 Te 0.0000 0.0000 0.0000  -0.16
5 Os 0.5000 0.5000 0.5000  3.38

Results
- Space group: P4/mmm

*x*
TeMoOsI2 | PBE | optimized geometry

Cell: 5.5975 5.5975 5.2047 Å, 90.00 90.00 90.00°
Site moments in Bohr magnetons follow the coordinates.
Fractional positions:
1 I 0.0000 0.5000 0.0000  0.12
2 I 0.5000 0.0000 0.0000  0.12
3 Mo 0.0000 0.0000 0.0000  1.47
4 Te 0.0000 0.0000 0.5000  -0.04
5 Os 0.5000 0.5000 0.5000  3.24

Results
- Space group: P4/mmm

Most stable pick: *x*. Distance to second place: 532 meV per atom.